Entry 1:
Compound: Gd2AsAu
Source: Alexandria
Functional: GGA-PBE
Structure: relaxed

a = 4.1051 Å, b = 4.1051 Å, c = 7.5677 Å
α = 74.26°, β = 74.26°, γ = 60.00°
Closest atoms and distances in Å follow each position.
Positions (direct):
Gd  0.7455  0.7455  0.7636  3 As 2.92, 3 Au 3.03
Gd  0.2545  0.2545  0.2364  3 As 2.92, 3 Au 3.03
Au  0.5000  0.5000  0.5000  6 Gd 3.03
As  0.0000  0.0000  0.0000  6 Gd 2.92



Entry 2:
Compound: Gd2AsAu
Source: Alexandria
Functional: GGA-PBE
Structure: relaxed

a = 3.6774 Å, b = 3.6774 Å, c = 6.9287 Å
α = 90.00°, β = 90.00°, γ = 90.00°
Closest atoms and distances in Å follow each position.
Positions (direct):
Au  0.5000  0.5000  0.5000  8 Gd 3.17, 2 As 3.46
Gd  0.0000  0.0000  0.2392  4 As 3.08, 4 Au 3.17, 1 Gd 3.32
Gd  0.0000  0.0000  0.7608  4 As 3.08, 4 Au 3.17, 1 Gd 3.32
As  0.5000  0.5000  0.0000  8 Gd 3.08



Looking at energy above the lowest structure with this stoichiometry for the records above, in order, we have 0 67 meV per atom.
Looking at E_tot for the records above, in order, we have -10.096 -10.029 eV per atom.
Looking at energy relative to the elements for the records above, in order, we have -1.074 -1.007 eV/atom.